TlIr2Au: optimized geometry, PBE.

Cell lengths 2.9204, 4.9651, 4.7893 Å; angles 90.00, 90.00, 90.00 degrees
Fractional coordinates of all 4 atoms:
Au1 0.0000 0.5000 0.5000
Ir1 0.0000 0.0000 0.0000
Ir2 0.5000 0.5000 0.0000
Tl1 0.5000 0.0000 0.5000

Output
energy of formation from the pure elements: 0.53 eV per atom
electronic total energy: -21.26 eV/f.u.
total moment: 0.0 Bohr magnetons per cell


Y2FePt: optimized geometry, PBE.

Cell lengths 4.8065, 4.8065, 4.8065 Å; angles 60.00, 60.00, 60.00 degrees
Each line ends with the local moment (μB).
Fractional coordinates of all 4 atoms:
Fe1 0.5000 0.5000 0.5000  2.72
Pt1 0.2500 0.2500 0.2500  0.19
Y1 0.0000 0.0000 0.0000  -0.09
Y2 0.7500 0.7500 0.7500  -0.17

Output
energy of formation from the pure elements: -0.18 eV per atom
electronic total energy: -28.14 eV/f.u.
total moment: 2.6 Bohr magnetons per cell


KCuSe2: optimized geometry, PBE.

Cell lengths 8.1944, 8.1944, 5.4266 Å; angles 48.36, 48.36, 26.13 degrees
Fractional coordinates of all 4 atoms:
Cu1 0.4291 0.4291 0.3919
K1 0.2158 0.2158 0.3184
Se1 0.0557 0.0557 0.1391
Se2 0.7995 0.7995 0.6507

Output
electronic total energy: -14.34 eV/f.u.
total moment: 0.0 Bohr magnetons per cell


The lowest electronic total energy belongs to which entry? Y2FePt


The lowest electronic total energy belongs to which entry? Y2FePt


Which formula does entry 1 have? TlIr2Au